VASP calculation (GGA-PBE) on a relaxed Na2AgBr2Cl2 crystal.

Values from the calculation:
- E (eV per atom) = -2.764
- total magnetization (μB/f.u.) = 0.000
- space-group type = I4/mmm
- formation energy without anion corrections (eV per atom) = -0.974

a = 8.406 Å, b = 8.406 Å, c = 8.406 Å
α = 144.74°, β = 144.74°, γ = 50.72°
Fractional coordinates of all 7 atoms:
1 Na 0.130 0.130 0.000
2 Na 0.870 0.870 0.000
3 Ag 0.500 0.500 0.000
4 Br 0.322 0.322 0.000
5 Br 0.678 0.678 0.000
6 Cl 0.000 0.500 0.500
7 Cl 0.500 0.000 0.500